Record 1
Compound: PaReMo
Source: OQMD via LeMat-Bulk
Functional: PBE
Structure: optimized geometry

a = 4.498 Å, b = 4.498 Å, c = 4.498 Å
α = 60.00°, β = 60.00°, γ = 60.00°
Element x y z (fractional)
Re  0.250  0.250  0.250
Pa  0.500  0.500  0.500
Mo  0.000  0.000  0.000

Uncorrected energy, eV for the cell shown: -31.308
Space group: No. 216
ΔE to the lowest computed polymorph, meV per atom: 0


Record 2
Compound: PaReMo
Source: OQMD via LeMat-Bulk
Functional: PBE
Structure: optimized geometry

a = 4.429 Å, b = 4.429 Å, c = 4.429 Å
α = 60.00°, β = 60.00°, γ = 60.00°
Element x y z (fractional)
Mo  0.250  0.250  0.250
Pa  0.000  0.000  0.000
Re  0.750  0.750  0.750

Uncorrected energy, eV for the cell shown: -30.018
Space group: No. 216
ΔE to the lowest computed polymorph, meV per atom: 430


Record 3
Compound: ScPaMo
Source: OQMD via LeMat-Bulk
Functional: PBE
Structure: optimized geometry

a = 4.637 Å, b = 4.637 Å, c = 4.637 Å
α = 60.00°, β = 60.00°, γ = 60.00°
Element x y z (fractional)
Mo  0.250  0.250  0.250
Pa  0.000  0.000  0.000
Sc  0.750  0.750  0.750

Uncorrected energy, eV for the cell shown: -23.471
Space group: No. 216
ΔE to the lowest computed polymorph, meV per atom: 730


Record 4
Compound: ScPaMo
Source: OQMD via LeMat-Bulk
Functional: PBE
Structure: optimized geometry

a = 4.669 Å, b = 4.669 Å, c = 4.669 Å
α = 60.00°, β = 60.00°, γ = 60.00°
Element x y z (fractional)
Sc  0.750  0.750  0.750
Pa  0.250  0.250  0.250
Mo  0.000  0.000  0.000

Uncorrected energy, eV for the cell shown: -25.662
Space group: No. 216
ΔE to the lowest computed polymorph, meV per atom: 0


Record 5
Compound: PaSiMo
Source: OQMD via LeMat-Bulk
Functional: PBE
Structure: optimized geometry

a = 4.543 Å, b = 4.543 Å, c = 4.543 Å
α = 60.00°, β = 60.00°, γ = 60.00°
Element x y z (fractional)
Pa  0.000  0.000  0.000
Mo  0.250  0.250  0.250
Si  0.750  0.750  0.750

Uncorrected energy, eV for the cell shown: -23.125
Space group: No. 216
ΔE to the lowest computed polymorph, meV per atom: 1305


Record 6
Compound: PaSiMo
Source: OQMD via LeMat-Bulk
Functional: PBE
Structure: optimized geometry

a = 4.469 Å, b = 4.469 Å, c = 4.469 Å
α = 60.00°, β = 60.00°, γ = 60.00°
Element x y z (fractional)
Si  0.000  0.000  0.000
Mo  0.250  0.250  0.250
Pa  0.750  0.750  0.750

Uncorrected energy, eV for the cell shown: -25.201
Space group: No. 216
ΔE to the lowest computed polymorph, meV per atom: 614


Copy entry 5 word for word.
Compound: PaSiMo
Source: OQMD via LeMat-Bulk
Functional: PBE
Structure: optimized geometry

a = 4.543 Å, b = 4.543 Å, c = 4.543 Å
α = 60.00°, β = 60.00°, γ = 60.00°
Element x y z (fractional)
Pa  0.000  0.000  0.000
Mo  0.250  0.250  0.250
Si  0.750  0.750  0.750

Uncorrected energy, eV for the cell shown: -23.125
Space group: No. 216
ΔE to the lowest computed polymorph, meV per atom: 1305